Sm8Ga2Hg | PBE | relaxed

It has space group C2/m (No. 12), with a = 18.338 Å, b = 5.090 Å, c = 7.141 Å, α = 90.00°, β = 101.89° and γ = 90.00°. Symmetry generates all atoms from Sm at (0.031, 0.000, 0.250), Sm at (0.092, 0.500, 0.956), Sm at (0.166, 0.500, 0.454), Sm at (0.198, 0.000, 0.808), Ga at (0.197, 0.000, 0.230) and Hg at (0.000, 0.500, 0.500).

The calculated formation energy is -0.26 eV per atom. As for the density: 7.857 g cm⁻³. The value obtained for the total moment is 0.00 μB/f.u. For the uncorrected energy, the calculation gives -4.272 eV/atom.

Sm3Ga2Hg3 | PBE | relaxed

It has space group Cmcm (No. 63), with a = 4.538 Å, b = 11.209 Å, c = 15.597 Å, α = 90.00°, β = 90.00° and γ = 90.00°. Symmetry generates all atoms from Sm at (0.000, 0.082, 0.108), Sm at (0.000, 0.358, 0.250), Ga at (0.000, 0.206, 0.613), Hg at (0.000, 0.366, 0.750) and Hg at (0.000, 0.373, 0.035).

The calculated formation energy is -0.49 eV per atom. As for the density: 9.981 g cm⁻³. The value obtained for the total moment is 0.00 μB/f.u. For the uncorrected energy, the calculation gives -3.134 eV/atom.

Sm3Ga2Hg | PBE | relaxed

It has space group P4/mmm (No. 123), with a = 3.660 Å, b = 3.660 Å, c = 11.340 Å, α = 90.00°, β = 90.00° and γ = 90.00°. Symmetry generates all atoms from Sm at (0.000, 0.000, 0.000), Sm at (0.000, 0.000, 0.321), Ga at (0.500, 0.500, 0.164) and Hg at (0.500, 0.500, 0.500).

The calculated formation energy is -0.54 eV per atom. As for the density: 8.649 g cm⁻³. The value obtained for the total moment is 0.00 μB/f.u. For the uncorrected energy, the calculation gives -3.956 eV/atom.

Sm5Ga2Hg2 | PBE | relaxed

It has space group Cmce (No. 64), with a = 16.490 Å, b = 7.847 Å, c = 7.756 Å, α = 90.00°, β = 90.00° and γ = 90.00°. Symmetry generates all atoms from Sm at (0.000, 0.000, 0.000), Sm at (0.133, 0.185, 0.324), Ga at (0.000, 0.117, 0.618) and Hg at (0.216, 0.000, 0.000).

The calculated formation energy is -0.48 eV per atom. As for the density: 8.555 g cm⁻³. The value obtained for the total moment is 0.00 μB/f.u. For the uncorrected energy, the calculation gives -3.840 eV/atom.

Sm5Ga2Hg | PBE | relaxed

It has space group I4/mcm (No. 140), with a = 7.715 Å, b = 7.715 Å, c = 15.147 Å, α = 90.00°, β = 90.00° and γ = 90.00°. Symmetry generates all atoms from Sm at (0.000, 0.000, 0.000), Sm at (0.172, 0.328, 0.145), Ga at (0.119, 0.381, 0.500) and Hg at (0.000, 0.000, 0.250).

The calculated formation energy is -0.43 eV per atom. As for the density: 8.044 g cm⁻³. The value obtained for the total moment is 0.00 μB/f.u. For the uncorrected energy, the calculation gives -4.176 eV/atom. As for the excess energy over the best structure of this formula in the dataset: 0.00 eV/f.u.

Sm2Ga3Hg | PBE | relaxed

It has space group Fmmm (No. 69), with a = 7.637 Å, b = 9.067 Å, c = 15.694 Å, α = 90.00°, β = 90.00° and γ = 90.00°. Symmetry generates all atoms from Sm at (0.248, 0.000, 0.000), Sm at (0.250, 0.250, 0.250), Ga at (0.000, 0.000, 0.338), Ga at (0.000, 0.243, 0.419) and Hg at (0.000, 0.000, 0.167).

The calculated formation energy is -0.58 eV per atom. As for the density: 8.685 g cm⁻³. The value obtained for the total moment is 0.00 μB/f.u. For the uncorrected energy, the calculation gives -3.712 eV/atom. As for the excess energy over the best structure of this formula in the dataset: 0.00 eV/f.u.

Sm2GaHg | PBE | relaxed

It has space group R-3m (No. 166, hexagonal axes), with a = 3.7908 Å, b = 3.7908 Å, c = 27.2308 Å, α = 90.00°, β = 90.00° and γ = 120.00°. Symmetry generates all atoms from Sm at (0.0000, 0.0000, 0.2453), Ga at (0.0000, 0.0000, 0.5000) and Hg at (0.0000, 0.0000, 0.0000).

The calculated formation energy is -0.37 eV per atom. As for the density: 8.394 g cm⁻³. The value obtained for the total moment is 0.00 μB/f.u. For the uncorrected energy, the calculation gives -3.566 eV/atom.

Sm4Ga12Hg | PBE | relaxed

It has space group Im-3m (No. 229), with a = 8.874 Å, b = 8.874 Å, c = 8.874 Å, α = 90.00°, β = 90.00° and γ = 90.00°. Symmetry generates all atoms from Sm at (0.250, 0.250, 0.250), Ga at (0.000, 0.000, 0.314), Ga at (0.000, 0.250, 0.500) and Hg at (0.000, 0.000, 0.000).

The calculated formation energy is -0.50 eV per atom. As for the density: 7.787 g cm⁻³. The value obtained for the total moment is 0.00 μB/f.u. For the uncorrected energy, the calculation gives -3.764 eV/atom.

SmGaHg2 | PBE | relaxed

It has space group P4/mmm (No. 123), with a = 3.688 Å, b = 3.688 Å, c = 7.095 Å, α = 90.00°, β = 90.00° and γ = 90.00°. Symmetry generates all atoms from Sm at (0.000, 0.000, 0.000), Ga at (0.000, 0.000, 0.500) and Hg at (0.500, 0.500, 0.272).

The calculated formation energy is -0.26 eV per atom. As for the density: 10.692 g cm⁻³. The value obtained for the total moment is 0.34 μB/f.u. For the uncorrected energy, the calculation gives -2.350 eV/atom.

Sm6Ga5Hg | PBE | relaxed

It has space group Cmmm (No. 65), with a = 5.217 Å, b = 15.629 Å, c = 7.336 Å, α = 90.00°, β = 90.00° and γ = 90.00°. Symmetry generates all atoms from Sm at (0.000, 0.000, 0.245), Sm at (0.000, 0.331, 0.248), Ga at (0.000, 0.163, 0.500), Ga at (0.000, 0.166, 0.000), Ga at (0.000, 0.500, 0.000) and Hg at (0.000, 0.500, 0.500).

The calculated formation energy is -0.55 eV per atom. As for the density: 8.059 g cm⁻³. The value obtained for the total moment is 0.00 μB/f.u. For the uncorrected energy, the calculation gives -4.195 eV/atom.

Sm4GaHg5 | PBE | relaxed

It has space group C2/m (No. 12), with a = 15.839 Å, b = 5.206 Å, c = 6.519 Å, α = 90.00°, β = 104.73° and γ = 90.00°. Symmetry generates all atoms from Sm at (0.089, 0.000, 0.353), Sm at (0.186, 0.500, 0.807), Ga at (0.000, 0.500, 0.500), Hg at (0.000, 0.500, 0.000), Hg at (0.105, 0.000, 0.889) and Hg at (0.212, 0.500, 0.331).

The calculated formation energy is -0.47 eV per atom. As for the density: 10.694 g cm⁻³. The value obtained for the total moment is 0.00 μB/f.u. For the uncorrected energy, the calculation gives -2.807 eV/atom.

Sm4Ga3Hg | PBE | relaxed

It has space group Pmma (No. 51), with a = 10.442 Å, b = 7.400 Å, c = 5.221 Å, α = 90.00°, β = 90.00° and γ = 90.00°. Symmetry generates all atoms from Sm at (0.000, 0.244, 0.000), Sm at (0.250, 0.244, 0.499), Ga at (0.000, 0.000, 0.500), Ga at (0.250, 0.000, 0.998), Ga at (0.250, 0.500, 0.999) and Hg at (0.000, 0.500, 0.500).

The calculated formation energy is -0.54 eV per atom. As for the density: 8.325 g cm⁻³. The value obtained for the total moment is 0.00 μB/f.u. For the uncorrected energy, the calculation gives -4.071 eV/atom. As for the excess energy over the best structure of this formula in the dataset: 0.00 eV/f.u.

SmGaSnHg | PBE | relaxed

It has space group F-43m (No. 216), with a = 7.344 Å, b = 7.344 Å, c = 7.344 Å, α = 90.00°, β = 90.00° and γ = 90.00°. Symmetry generates all atoms from Sm at (0.000, 0.000, 0.000), Ga at (0.250, 0.250, 0.750), Sn at (0.000, 0.000, 0.500) and Hg at (0.250, 0.250, 0.250).

The calculated formation energy is -0.29 eV per atom. As for the density: 9.044 g cm⁻³. The value obtained for the total moment is 0.00 μB/f.u. For the uncorrected energy, the calculation gives -3.305 eV/atom. As for the excess energy over the best structure of this formula in the dataset: 0.72 eV/f.u.

SmGaSnHg | PBE | relaxed

It has space group Pmmm (No. 47), with a = 4.482 Å, b = 4.598 Å, c = 4.651 Å, α = 90.00°, β = 90.00° and γ = 90.00°. Symmetry generates all atoms from Sm at (0.000, 0.000, 0.000), Ga at (0.500, 0.500, 0.000), Sn at (0.500, 0.000, 0.500) and Hg at (0.000, 0.500, 0.500).

The calculated formation energy is -0.47 eV per atom. As for the density: 9.343 g cm⁻³. The value obtained for the total moment is 0.00 μB/f.u. For the uncorrected energy, the calculation gives -3.486 eV/atom. As for the excess energy over the best structure of this formula in the dataset: 0.00 eV/f.u.

SrSmGaHg | PBE | relaxed

It has space group F-43m (No. 216), with a = 7.672 Å, b = 7.672 Å, c = 7.672 Å, α = 90.00°, β = 90.00° and γ = 90.00°. Symmetry generates all atoms from Sr at (0.000, 0.000, 0.000), Sm at (0.000, 0.000, 0.500), Ga at (0.250, 0.250, 0.250) and Hg at (0.250, 0.250, 0.750).

The calculated formation energy is -0.44 eV per atom. As for the density: 7.476 g cm⁻³. The value obtained for the total moment is 0.00 μB/f.u. For the uncorrected energy, the calculation gives -2.877 eV/atom.

TbSmGaHg | PBE | relaxed

It has space group P4mm (No. 99), with a = 3.645 Å, b = 3.645 Å, c = 7.588 Å, α = 90.00°, β = 90.00° and γ = 90.00°. Symmetry generates all atoms from Tb at (0.000, 0.000, 0.000), Sm at (0.000, 0.000, 0.470), Ga at (0.500, 0.500, 0.230) and Hg at (0.500, 0.500, 0.746).

The calculated formation energy is -0.53 eV per atom. As for the density: 9.548 g cm⁻³. The value obtained for the total moment is 0.00 μB/f.u. For the uncorrected energy, the calculation gives -3.699 eV/atom. As for the excess energy over the best structure of this formula in the dataset: 0.00 eV/f.u.

TbSmGaHg | PBE | relaxed

It has space group F-43m (No. 216), with a = 7.417 Å, b = 7.417 Å, c = 7.417 Å, α = 90.00°, β = 90.00° and γ = 90.00°. Symmetry generates all atoms from Tb at (0.000, 0.000, 0.000), Sm at (0.000, 0.000, 0.500), Ga at (0.250, 0.250, 0.750) and Hg at (0.250, 0.250, 0.250).

The calculated formation energy is -0.51 eV per atom. As for the density: 9.436 g cm⁻³. The value obtained for the total moment is 0.00 μB/f.u. For the uncorrected energy, the calculation gives -3.677 eV/atom. As for the excess energy over the best structure of this formula in the dataset: 0.09 eV/f.u.

Sm4TlGaHg2 | PBE | relaxed

It has space group R-3m (No. 166, hexagonal axes), with a = 5.3567 Å, b = 5.3567 Å, c = 26.1837 Å, α = 90.00°, β = 90.00° and γ = 120.00°. Symmetry generates all atoms from Sm at (0.0000, 0.0000, 0.1202), Sm at (0.0000, 0.0000, 0.3705), Tl at (0.0000, 0.0000, 0.5000), Ga at (0.0000, 0.0000, 0.0000) and Hg at (0.0000, 0.0000, 0.2472).

The calculated formation energy is -0.47 eV per atom. As for the density: 9.775 g cm⁻³. The value obtained for the total moment is 1.12 μB/f.u. For the uncorrected energy, the calculation gives -3.578 eV/atom.

SmTmGaHg | PBE | relaxed

It has space group F-43m (No. 216), with a = 7.357 Å, b = 7.357 Å, c = 7.357 Å, α = 90.00°, β = 90.00° and γ = 90.00°. Symmetry generates all atoms from Sm at (0.000, 0.000, 0.000), Tm at (0.000, 0.000, 0.500), Ga at (0.250, 0.250, 0.250) and Hg at (0.250, 0.250, 0.750).

The calculated formation energy is -0.50 eV per atom. As for the density: 9.835 g cm⁻³. The value obtained for the total moment is 0.00 μB/f.u. For the uncorrected energy, the calculation gives -3.627 eV/atom.

SmYGaHg | PBE | relaxed

It has space group F-43m (No. 216), with a = 7.408 Å, b = 7.408 Å, c = 7.408 Å, α = 90.00°, β = 90.00° and γ = 90.00°. Symmetry generates all atoms from Sm at (0.000, 0.000, 0.000), Y at (0.000, 0.000, 0.500), Ga at (0.250, 0.250, 0.750) and Hg at (0.250, 0.250, 0.250).

The calculated formation energy is -0.52 eV per atom. As for the density: 8.325 g cm⁻³. The value obtained for the total moment is 0.00 μB/f.u. For the uncorrected energy, the calculation gives -4.151 eV/atom.

SmZnGaHg | PBE | relaxed

It has space group F-43m (No. 216), with a = 7.044 Å, b = 7.044 Å, c = 7.044 Å, α = 90.00°, β = 90.00° and γ = 90.00°. Symmetry generates all atoms from Sm at (0.000, 0.000, 0.000), Zn at (0.000, 0.000, 0.500), Ga at (0.250, 0.250, 0.250) and Hg at (0.250, 0.250, 0.750).

The calculated formation energy is -0.31 eV per atom. As for the density: 9.238 g cm⁻³. The value obtained for the total moment is 0.00 μB/f.u. For the uncorrected energy, the calculation gives -2.637 eV/atom.

Sm2Zn4Ga3Hg | PBE | relaxed

It has space group P-4m2 (No. 115), with a = 4.268 Å, b = 4.268 Å, c = 10.788 Å, α = 90.00°, β = 90.00° and γ = 90.00°. Symmetry generates all atoms from Sm at (0.000, 0.500, 0.240), Zn at (0.000, 0.000, 0.000), Zn at (0.000, 0.500, 0.645), Zn at (0.500, 0.500, 0.000), Ga at (0.000, 0.500, 0.869), Ga at (0.500, 0.500, 0.500) and Hg at (0.000, 0.000, 0.500).

The calculated formation energy is -0.41 eV per atom. As for the density: 8.212 g cm⁻³. The value obtained for the total moment is 0.00 μB/f.u. For the uncorrected energy, the calculation gives -2.798 eV/atom.

GaSn2Hg | PBE | relaxed

It has space group R-3m (No. 166, hexagonal axes), with a = 4.1448 Å, b = 4.1448 Å, c = 26.0307 Å, α = 90.00°, β = 90.00° and γ = 120.00°. Symmetry generates all atoms from Ga at (0.0000, 0.0000, 0.0000), Sn at (0.0000, 0.0000, 0.3886) and Hg at (0.0000, 0.0000, 0.5000).

The calculated formation energy is 0.14 eV per atom. As for the density: 6.531 g cm⁻³. The value obtained for the total moment is 0.00 μB/f.u. For the uncorrected energy, the calculation gives -2.690 eV/atom. As for the excess energy over the best structure of this formula in the dataset: 0.31 eV/f.u.

Ga2Sn2Hg | PBE | relaxed

It has space group I4/mmm (No. 139), with a = 4.790 Å, b = 4.790 Å, c = 11.399 Å, α = 90.00°, β = 90.00° and γ = 90.00°. Symmetry generates all atoms from Ga at (0.000, 0.000, 0.109), Sn at (0.000, 0.500, 0.250) and Hg at (0.000, 0.000, 0.500).

The calculated formation energy is 0.08 eV per atom. As for the density: 7.333 g cm⁻³. The value obtained for the total moment is 0.00 μB/f.u. For the uncorrected energy, the calculation gives -2.797 eV/atom. As for the excess energy over the best structure of this formula in the dataset: 0.00 eV/f.u.